First-principles (PBE+U) data for NaLi2Mo2O6 after structural relaxation, as listed in Alexandria.

Unit cell a=6.236 b=6.236 c=9.140 alpha=70.05 beta=70.05 gamma=60.00
Each line ends with the local moment (μB).
Atoms (fractional coordinates):
Mo: 0.887 0.887 0.340  0.44
Mo: 0.113 0.113 0.660  0.44
O: 0.747 0.747 0.282  0.01
O: 0.776 0.253 0.718  0.01
O: 0.253 0.776 0.718  0.01
O: 0.224 0.747 0.282  0.01
O: 0.253 0.253 0.718  0.01
O: 0.747 0.224 0.282  0.01
Na: 0.000 0.000 0.000  0.00
Li: 0.428 0.428 0.715  0.00
Li: 0.572 0.572 0.285  0.00

Properties
For the calculated volume, the calculation gives 25.72 Å³ per atom. For the total energy, the calculation gives -5.789 eV per atom. As for the space-group type: R-3m, No. 166.